# KrF2 PBE optimized geometry
data_KrF2
_cell_length_a 4.550
_cell_length_b 4.550
_cell_length_c 4.550
_cell_angle_alpha 122.26
_cell_angle_beta 122.26
_cell_angle_gamma 86.12
_space_group_name_H-M_alt 'P 1'
_space_group_IT_number 1
loop_
_space_group_symop_operation_xyz
'x,y,z'
loop_
_atom_site_label
_atom_site_fract_x
_atom_site_fract_y
_atom_site_fract_z
Kr1 0.000 0.000 0.000
F1 0.291 0.291 0.000
F2 0.709 0.709 0.000
# - formation energy from raw total energies (eV per atom) = -0.08
# - SG = I4/mmm (139)

=====

# CoIr2Os PBE optimized geometry
data_CoIr2Os
_cell_length_a 4.310
_cell_length_b 4.310
_cell_length_c 4.310
_cell_angle_alpha 60.00
_cell_angle_beta 60.00
_cell_angle_gamma 60.00
_space_group_name_H-M_alt 'P 1'
_space_group_IT_number 1
loop_
_space_group_symop_operation_xyz
'x,y,z'
loop_
_atom_site_label
_atom_site_fract_x
_atom_site_fract_y
_atom_site_fract_z
Co1 0.000 0.000 0.000
Ir1 0.250 0.250 0.250
Ir2 0.750 0.750 0.750
Os1 0.500 0.500 0.500
# - ΔE_f (eV/atom) = 0.5333
# - SG = Fm-3m (225)

=====

# Cs2GaSe PBE optimized geometry
data_Cs2GaSe
_cell_length_a 10.072
_cell_length_b 10.072
_cell_length_c 10.072
_cell_angle_alpha 94.09
_cell_angle_beta 94.09
_cell_angle_gamma 149.02
_space_group_name_H-M_alt 'P 1'
_space_group_IT_number 1
loop_
_space_group_symop_operation_xyz
'x,y,z'
loop_
_atom_site_label
_atom_site_fract_x
_atom_site_fract_y
_atom_site_fract_z
Cs1 0.375 0.181 0.306
Cs2 0.819 0.125 0.194
Cs3 0.875 0.069 0.694
Cs4 0.931 0.625 0.806
Ga1 0.250 0.750 0.500
Ga2 0.500 0.500 0.000
Se1 0.000 0.000 0.000
Se2 0.750 0.250 0.500
# - formation energy from raw total energies (eV per atom) = -0.35
# - SG = I-42d (122)

=====

Number 1: magnetization 0.00 μB per cell. Number 2: magnetization 3.27 μB per cell. Number 3: magnetization 2.28 μB per cell.